1.
LaSn2Pt2: relaxed, PBE-GGA.

Output
uncorrected energy = -5.501 eV/atom
V = 218 Å³ per cell

a = 8.3019 Å, b = 8.3019 Å, c = 3.1691 Å
α = 90.00°, β = 90.00°, γ = 90.00°
Space group P4/mbm (No. 127)
Inequivalent atoms, fractional coordinates:
La (0.0000, 0.0000, 0.0000)
Sn (0.1355, 0.3645, 0.0000)
Pt (0.1578, 0.6578, 0.5000)


2.
AcMg2Ag: relaxed, PBE-GGA.

Output
uncorrected energy = -2.750 eV/atom
V = 870 Å³ per cell

a = 17.4720 Å, b = 8.2778 Å, c = 6.0134 Å
α = 90.00°, β = 90.00°, γ = 90.00°
Space group Pnma (No. 62)
Inequivalent atoms, fractional coordinates:
Ac (0.1052, 0.2500, 0.2490)
Ac (0.1391, 0.7500, 0.0468)
Mg (0.0376, 0.0570, 0.7410)
Mg (0.2134, 0.5566, 0.5509)
Ag (0.0702, 0.7500, 0.5345)
Ag (0.1819, 0.2500, 0.7605)


3.
Pu2CoCl: relaxed, PBE-GGA.

Output
energy relative to the elements, uncorrected = -539.8 meV per atom
V = 280 Å³ per cell

a = 3.7977 Å, b = 3.7977 Å, c = 22.3789 Å
α = 90.00°, β = 90.00°, γ = 120.00°
Space group R-3m (No. 166, hexagonal axes)
Inequivalent atoms, fractional coordinates:
Pu (0.0000, 0.0000, 0.2340)
Co (0.0000, 0.0000, 0.5000)
Cl (0.0000, 0.0000, 0.0000)


4.
ScTi5Tc6: relaxed, PBE-GGA.

Output
uncorrected energy = -9.403 eV/atom
V = 367 Å³ per cell

a = 4.4440 Å, b = 6.2480 Å, c = 13.2134 Å
α = 90.00°, β = 90.00°, γ = 90.00°
Space group Immm (No. 71)
Inequivalent atoms, fractional coordinates:
Sc (0.0000, 0.0000, 0.0000)
Ti (0.0000, 0.0000, 0.3328)
Ti (0.0000, 0.5000, 0.0000)
Ti (0.0000, 0.5000, 0.3326)
Tc (0.0000, 0.2420, 0.5000)
Tc (0.0000, 0.2538, 0.1696)